# Mg3TcPt (PBEsol, optimized geometry)
# Calculated total energy   -3.4954 eV/atom
data_Mg3TcPt
_chemical_formula_sum 'Mg3 Tc1 Pt1'
_cell_length_a 4.777
_cell_length_b 4.777
_cell_length_c 4.777
_cell_angle_alpha 90.00
_cell_angle_beta 90.00
_cell_angle_gamma 90.00
_symmetry_space_group_name_H-M 'P m -3 m'
_symmetry_Int_Tables_number 221
_symmetry_space_group_name_Hall '-P 4 2 3'
loop_
_atom_site_label
_atom_site_type_symbol
_atom_site_fract_x
_atom_site_fract_y
_atom_site_fract_z
Mg1 Mg 0.000 0.000 0.500
Tc1 Tc 0.000 0.000 0.000
Pt1 Pt 0.500 0.500 0.500